The following is a DFT calculation (PBE) of MgGa3B after structural relaxation.

Cell lengths 5.0420, 5.0420, 5.0420 Å; angles 90.00, 90.00, 90.00 degrees
Closest atoms and distances in Å follow each position.
Positions (direct):
Ga: 0.5000 0.0000 0.0000  2 Mg 2.52
Ga: 0.0000 0.0000 0.5000  2 Mg 2.52
Ga: 0.0000 0.5000 0.0000  2 Mg 2.52
Mg: 0.0000 0.0000 0.0000  6 Ga 2.52
B: 0.5000 0.5000 0.5000  12 Ga 3.57

Computed properties:
Formation energy = 1.3706 eV per atom
Distance to the lowest polymorph of the same formula = 1007 meV per atom

The following is a DFT calculation (PBE) of HoTiAu2 after structural relaxation.

Cell lengths 3.5122, 4.8137, 4.8137 Å; angles 90.00, 90.00, 90.00 degrees
Closest atoms and distances in Å follow each position.
Positions (direct):
Ti: 0.5000 0.0000 0.0000  8 Au 2.98
Au: 0.0000 0.5000 0.0000  4 Ho 2.98, 4 Ti 2.98
Au: 0.0000 0.0000 0.5000  4 Ho 2.98, 4 Ti 2.98
Ho: 0.5000 0.5000 0.5000  8 Au 2.98

Computed properties:
Formation energy = -0.5238 eV per atom
Distance to the lowest polymorph of the same formula = 29 meV per atom

The following is a DFT calculation (PBE) of InPt2Cl after structural relaxation.

Cell lengths 6.1946, 6.1946, 6.1946 Å; angles 39.91, 39.91, 39.91 degrees
Closest atoms and distances in Å follow each position.
Positions (direct):
Cl: 0.5104 0.5104 0.5104  3 Pt 2.95, 3 In 3.19
Pt: 0.2738 0.2738 0.2738  3 Pt 2.60
Pt: 0.9925 0.9925 0.9925  3 Pt 2.60, 3 In 2.68
In: 0.7233 0.7233 0.7233  3 Pt 2.68

Computed properties:
Distance to the lowest polymorph of the same formula = 74 meV per atom

The following is a DFT calculation (PBE) of PmDy2Ho2 after structural relaxation.

Cell lengths 3.5105, 5.7085, 8.6459 Å; angles 109.31, 90.00, 90.00 degrees
Closest atoms and distances in Å follow each position.
Positions (direct):
Dy: 0.2000 0.3997 0.7994  2 Pm 3.44, 4 Ho 3.45-3.55, 4 Dy 3.51-3.58
Dy: 0.7000 0.5912 0.1824  4 Ho 3.45-3.56, 4 Dy 3.51-3.58, 4 Pm 3.56
Ho: 0.2000 0.7809 0.5619  4 Dy 3.45-3.56, 6 Ho 3.51-3.54
Ho: 0.7000 0.2103 0.4209  4 Dy 3.45-3.55, 6 Ho 3.51-3.54, 2 Pm 3.60
Pm: 0.2000 0.0178 0.0354  6 Dy 3.44-3.56, 2 Pm 3.51, 2 Ho 3.60

Computed properties:
Formation energy = 0.1210 eV per atom
Distance to the lowest polymorph of the same formula = 35 meV per atom

The following is a DFT calculation (PBE) of ZrHg2Se after structural relaxation.

Cell lengths 5.4924, 5.4924, 3.5357 Å; angles 90.00, 90.00, 120.20 degrees
Closest atoms and distances in Å follow each position.
Positions (direct):
Hg: 0.0000 0.0000 0.0000  2 Hg 2.74
Hg: 0.5000 0.5000 0.0000  2 Hg 2.74
Se: 0.5000 0.0000 0.5000  2 Zr 2.74
Zr: 0.0000 0.5000 0.5000  2 Se 2.74

The following is a DFT calculation (PBE) of Be2SbAs after structural relaxation.

Cell lengths 3.6174, 4.9835, 3.9717 Å; angles 89.85, 90.00, 90.00 degrees
Closest atoms and distances in Å follow each position.
Positions (direct):
Be: 0.0000 0.4660 0.7451  1 Be 2.15, 2 As 2.30
Be: 0.0000 0.0340 0.7549  1 Be 2.15, 2 As 2.30
Sb: 0.5000 0.2500 0.2500  8 Be 2.88-2.91, 4 As 3.18-3.19
As: 0.5000 0.7500 0.7500  4 Be 2.30

Computed properties:
Distance to the lowest polymorph of the same formula = 228 meV per atom

One value per record, in order, for uncorrected energy: -2.100 -5.281 -4.198 -4.501 -3.316 -3.689 eV/atom.